(1)
Compound: Ba2ScReAg
Source: the Alexandria database
Functional: GGA-PBE
Structure: optimized geometry

Structure (POSCAR):
```
Ba2ScReAg
1.0
5.8261 0.0000 0.0000
0.0000 5.8261 0.0000
0.0000 0.0000 5.2795
Ba Sc Re Ag
2 1 1 1
Cartesian
0.0000 2.9131 0.0000
2.9131 0.0000 0.0000
0.0000 0.0000 2.6397
2.9131 2.9131 0.0000
2.9131 2.9131 2.6397
```

As for the formation energy: 1.13 eV per atom.

(2)
Compound: Pm6Sm2Dy
Source: the Alexandria database
Functional: GGA-PBE
Structure: optimized geometry

Structure (POSCAR):
```
Pm6Sm2Dy
1.0
4.7273 -8.9147 0.0000
4.7273 8.9147 0.0000
0.0000 0.0000 3.6547
Pm Sm Dy
6 2 1
Cartesian
1.6634 2.9235 0.0000
1.7362 0.0000 1.8273
1.6634 -2.9235 0.0000
7.7912 2.9235 0.0000
7.7184 0.0000 1.8273
7.7912 -2.9235 0.0000
4.7273 3.1795 1.8273
4.7273 -3.1795 1.8273
4.7273 0.0000 0.0000
```

As for the formation energy: 0.13 eV per atom.

(3)
Compound: Be2GaCo
Source: the Alexandria database
Functional: GGA-PBE
Structure: optimized geometry

Structure (POSCAR):
```
Be2GaCo
1.0
2.8053 0.0000 0.0000
0.0000 2.8053 0.0000
0.0000 0.0000 5.2243
Be Ga Co
2 1 1
Cartesian
0.0000 0.0000 1.0738
0.0000 0.0000 4.1505
1.4026 1.4026 2.6122
1.4026 1.4026 0.0000
```

As for the formation energy: -0.12 eV per atom.

(4)
Compound: ZnInCl3
Source: the Alexandria database
Functional: GGA-PBE
Structure: optimized geometry

Structure (POSCAR):
```
ZnInCl3
1.0
4.7214 0.0000 0.0000
0.0000 4.7214 0.0000
0.0000 0.0000 6.1248
Zn In Cl
1 1 3
Cartesian
0.0000 0.0000 0.0000
2.3607 2.3607 2.9341
0.0000 0.0000 3.8775
0.0000 2.3607 0.7821
2.3607 0.0000 0.7821
```

Number 1: VASP energy -3.96 eV/atom. Number 2: VASP energy -4.60 eV/atom. Number 3: VASP energy -4.52 eV/atom. Number 4: VASP energy -2.86 eV/atom.